No. 1
DFT (PBE) results for a relaxed structure of RuS4.

Lattice parameters (Å, degrees): 4.718 6.862 6.629 98.10 90.00 90.00
Element x y z (fractional)
Ru: 0.000 0.000 0.000
Ru: 0.500 0.000 0.500
S: 0.334 0.172 0.238
S: 0.834 0.828 0.262
S: 0.666 0.828 0.762
S: 0.166 0.172 0.738
S: 0.828 0.251 0.574
S: 0.328 0.749 0.926
S: 0.172 0.749 0.426
S: 0.672 0.251 0.074

Output
Electronic total energy, eV for the cell shown: -52.94
Energy above the most stable polymorph in this dataset, meV/atom: 0
Raw formation energy, eV per atom: -0.14

No. 2
DFT (PBE) results for a relaxed structure of SbRuS2.

Lattice parameters (Å, degrees): 8.136 8.136 8.136 25.07 25.07 25.07
Element x y z (fractional)
Sb: 0.000 0.000 0.000
S: 0.884 0.884 0.884
S: 0.116 0.116 0.116
Ru: 0.500 0.500 0.500

Output
Electronic total energy, eV for the cell shown: -22.26
Raw formation energy, eV per atom: -0.15

No. 3
DFT (PBE) results for a relaxed structure of Sb3RuS.

Lattice parameters (Å, degrees): 5.052 5.052 5.052 90.00 90.00 90.00
Last column: magnetic moment on the atom in μB.
Element x y z (fractional)
Sb: 0.000 0.500 0.000  -0.05
Sb: 0.000 0.000 0.500  -0.04
Sb: 0.500 0.000 0.000  -0.04
S: 0.000 0.000 0.000  -0.01
Ru: 0.500 0.500 0.500  1.25

Output
Electronic total energy, eV for the cell shown: -20.41
Energy above the most stable polymorph in this dataset, meV/atom: 588
Raw formation energy, eV per atom: 1.07

No. 4
DFT (PBE) results for a relaxed structure of Sb3RuS.

Lattice parameters (Å, degrees): 5.094 5.094 5.094 90.00 90.00 90.00
Element x y z (fractional)
Sb: 0.000 0.500 0.000
Sb: 0.000 0.000 0.500
Sb: 0.500 0.000 0.000
S: 0.500 0.500 0.500
Ru: 0.000 0.000 0.000

Output
Electronic total energy, eV for the cell shown: -23.35
Energy above the most stable polymorph in this dataset, meV/atom: 0
Raw formation energy, eV per atom: 0.48

No. 5
DFT (PBE) results for a relaxed structure of SbRuS2.

Lattice parameters (Å, degrees): 6.321 6.321 6.319 59.99 59.99 90.00
Element x y z (fractional)
Sb: 0.000 0.000 0.000
Sb: 0.750 0.250 0.500
S: 0.557 0.125 0.250
S: 0.193 0.625 0.250
S: 0.375 0.443 0.750
S: 0.875 0.807 0.750
Ru: 0.500 0.500 0.000
Ru: 0.250 0.750 0.500

Output
Electronic total energy, eV for the cell shown: -42.45
Raw formation energy, eV per atom: 0.11

No. 6
DFT (PBE) results for a relaxed structure of SbRu2S.

Lattice parameters (Å, degrees): 4.464 4.464 4.464 60.00 60.00 60.00
Element x y z (fractional)
Sb: 0.500 0.500 0.500
S: 0.000 0.000 0.000
Ru: 0.250 0.250 0.250
Ru: 0.750 0.750 0.750

Output
Electronic total energy, eV for the cell shown: -25.71
Energy above the most stable polymorph in this dataset, meV/atom: 194
Raw formation energy, eV per atom: 0.27

Look up the electronic total energy of the first one.
-52.94 eV for the cell shown

Look up the electronic total energy of the second one.
-22.26 eV for the cell shown

Repeat the third record exactly.
DFT (PBE) results for a relaxed structure of Sb3RuS.

Lattice parameters (Å, degrees): 5.052 5.052 5.052 90.00 90.00 90.00
Last column: magnetic moment on the atom in μB.
Element x y z (fractional)
Sb: 0.000 0.500 0.000  -0.05
Sb: 0.000 0.000 0.500  -0.04
Sb: 0.500 0.000 0.000  -0.04
S: 0.000 0.000 0.000  -0.01
Ru: 0.500 0.500 0.500  1.25

Output
Electronic total energy, eV for the cell shown: -20.41
Energy above the most stable polymorph in this dataset, meV/atom: 588
Raw formation energy, eV per atom: 1.07